1.
Below is Y3TlW at its PBEsol-relaxed geometry, with properties calculated at the SCAN level.

Lattice parameters (Å, degrees): 5.530 5.530 5.530 90.00 90.00 90.00
Fractional coordinates of all 5 atoms:
Y 0.000 0.000 0.500
Y 0.000 0.500 0.000
Y 0.500 0.000 0.000
Tl 0.000 0.000 0.000
W 0.500 0.500 0.500

For the formation energy, the calculation gives 1.19 eV/atom.



2.
Below is ZnCoIr2 at its PBEsol-relaxed geometry, with properties calculated at the SCAN level.

Lattice parameters (Å, degrees): 2.681 2.681 7.184 90.00 90.00 90.00
Fractional coordinates of all 4 atoms:
Zn 0.000 0.000 0.000
Co 0.000 0.000 0.500
Ir 0.500 0.500 0.267
Ir 0.500 0.500 0.733

For the formation energy, the calculation gives 0.00 eV/atom.



3.
Below is NiAs2SBr at its PBEsol-relaxed geometry, with properties calculated at the SCAN level.

Lattice parameters (Å, degrees): 4.729 4.729 4.799 90.00 90.00 90.00
Fractional coordinates of all 5 atoms:
Ni 0.000 0.000 0.000
As 0.000 0.500 0.500
As 0.500 0.000 0.500
S 0.500 0.500 0.500
Br 0.500 0.500 0.000

The raw formation energy comes out at 1.191 eV/atom.



4.
Below is Tc2IrW at its PBEsol-relaxed geometry, with properties calculated at the SCAN level.

Lattice parameters (Å, degrees): 9.137 9.137 9.137 17.17 17.17 17.17
Fractional coordinates of all 4 atoms:
Tc 0.248 0.248 0.248
Tc 0.752 0.752 0.752
Ir 0.500 0.500 0.500
W 0.000 0.000 0.000

For the formation energy, the calculation gives 0.08 eV/atom. The relative energy among the computed polymorphs is 264 meV/atom.



5.
Below is GaCo2AgP at its PBEsol-relaxed geometry, with properties calculated at the SCAN level.

Lattice parameters (Å, degrees): 4.080 4.080 4.577 90.00 90.00 90.00
Fractional coordinates of all 5 atoms:
Ga 0.000 0.000 0.000
Co 0.000 0.500 0.500
Co 0.500 0.000 0.500
Ag 0.500 0.500 0.000
P 0.000 0.000 0.500

For the formation energy, the calculation gives 0.47 eV/atom.



6.
Below is Ta2CuPtRh at its PBEsol-relaxed geometry, with properties calculated at the SCAN level.

Lattice parameters (Å, degrees): 4.764 4.764 4.474 90.00 90.00 90.00
Fractional coordinates of all 5 atoms:
Ta 0.000 0.500 0.000
Ta 0.500 0.000 0.000
Cu 0.000 0.000 0.500
Pt 0.000 0.000 0.000
Rh 0.500 0.500 0.500

For the formation energy, the calculation gives 1.17 eV/atom.



7.
Below is Cd3Rh at its PBEsol-relaxed geometry, with properties calculated at the SCAN level.

Lattice parameters (Å, degrees): 5.511 5.511 5.511 147.39 63.23 127.45
Fractional coordinates of all 4 atoms:
Cd 0.000 0.000 0.000
Cd 0.141 0.377 0.763
Cd 0.614 0.377 0.237
Rh 0.521 0.021 0.500

For the formation energy, the calculation gives -0.08 eV/atom.



8.
Below is Ca2Cu at its PBEsol-relaxed geometry, with properties calculated at the SCAN level.

Lattice parameters (Å, degrees): 4.975 4.975 4.975 60.00 60.00 60.00
Fractional coordinates of all 3 atoms:
Ca 0.250 0.250 0.250
Ca 0.750 0.750 0.750
Cu 0.000 0.000 0.000

For the formation energy, the calculation gives 0.04 eV/atom.



9.
Below is TaAl3 at its PBEsol-relaxed geometry, with properties calculated at the SCAN level.

Lattice parameters (Å, degrees): 8.782 8.782 8.782 154.56 154.56 36.29
Fractional coordinates of all 8 atoms:
Ta 0.124 0.124 0.000
Ta 0.876 0.876 0.000
Al 0.000 0.500 0.500
Al 0.250 0.750 0.500
Al 0.378 0.378 0.000
Al 0.500 0.000 0.500
Al 0.622 0.622 0.000
Al 0.750 0.250 0.500

For the formation energy, the calculation gives -0.26 eV/atom.



10.
Below is NaICl2 at its PBEsol-relaxed geometry, with properties calculated at the SCAN level.

Lattice parameters (Å, degrees): 8.099 8.099 8.099 31.29 31.29 31.29
Fractional coordinates of all 4 atoms:
Na 0.000 0.000 0.000
I 0.500 0.500 0.500
Cl 0.389 0.389 0.389
Cl 0.611 0.611 0.611

The raw formation energy comes out at -1.081 eV/atom.



11.
Below is FeTe2Ru at its PBEsol-relaxed geometry, with properties calculated at the SCAN level.

Lattice parameters (Å, degrees): 3.360 3.360 7.109 90.00 90.00 90.00
Fractional coordinates of all 4 atoms:
Fe 0.000 0.000 0.000
Te 0.000 0.000 0.373
Te 0.500 0.500 0.822
Ru 0.500 0.500 0.190

The raw formation energy comes out at 0.083 eV/atom.



12.
Below is Mg2AlSb at its PBEsol-relaxed geometry, with properties calculated at the SCAN level.

Lattice parameters (Å, degrees): 5.336 5.336 5.336 130.54 130.54 72.55
Fractional coordinates of all 4 atoms:
Mg 0.250 0.750 0.500
Mg 0.750 0.250 0.500
Al 0.000 0.000 0.000
Sb 0.500 0.500 0.000

The relative energy among the computed polymorphs is 0 meV/atom. The raw formation energy comes out at -0.074 eV/atom.



13.
Below is MgCu2Si at its PBEsol-relaxed geometry, with properties calculated at the SCAN level.

Lattice parameters (Å, degrees): 2.871 4.008 4.938 90.00 90.00 90.00
Fractional coordinates of all 4 atoms:
Mg 0.000 0.000 0.000
Cu 0.500 0.500 0.247
Cu 0.500 0.500 0.753
Si 0.500 0.000 0.500

The raw formation energy comes out at -0.021 eV/atom.



14.
Below is Hf3BeRu at its PBEsol-relaxed geometry, with properties calculated at the SCAN level.

Lattice parameters (Å, degrees): 4.503 4.503 4.503 90.00 90.00 90.00
Fractional coordinates of all 5 atoms:
Hf 0.000 0.000 0.500
Hf 0.000 0.500 0.000
Hf 0.500 0.000 0.000
Be 0.000 0.000 0.000
Ru 0.500 0.500 0.500

For the formation energy, the calculation gives 0.49 eV/atom.



15.
Below is ZrSc2Al at its PBEsol-relaxed geometry, with properties calculated at the SCAN level.

Lattice parameters (Å, degrees): 5.868 5.868 5.868 146.25 131.42 60.46
Fractional coordinates of all 4 atoms:
Zr 0.000 0.000 0.000
Sc 0.273 0.773 0.500
Sc 0.727 0.227 0.500
Al 0.500 0.500 0.000

For the formation energy, the calculation gives -0.23 eV/atom.



16.
Below is Y2IF at its PBEsol-relaxed geometry, with properties calculated at the SCAN level.

Lattice parameters (Å, degrees): 6.291 6.291 6.291 106.37 106.37 115.87
Fractional coordinates of all 8 atoms:
Y 0.013 0.625 0.888
Y 0.375 0.263 0.388
Y 0.737 0.125 0.112
Y 0.875 0.987 0.612
I 0.250 0.750 0.500
I 0.500 0.500 0.000
F 0.000 0.000 0.000
F 0.750 0.250 0.500

The raw formation energy comes out at -1.566 eV/atom.



17.
Below is Ho5Ni2Sb at its PBEsol-relaxed geometry, with properties calculated at the SCAN level.

Lattice parameters (Å, degrees): 8.398 8.398 8.398 127.09 127.09 78.10
Fractional coordinates of all 16 atoms:
Ho 0.000 0.000 0.000
Ho 0.021 0.521 0.815
Ho 0.206 0.021 0.500
Ho 0.294 0.794 0.815
Ho 0.479 0.294 0.500
Ho 0.500 0.500 0.000
Ho 0.521 0.706 0.500
Ho 0.706 0.206 0.185
Ho 0.794 0.979 0.500
Ho 0.979 0.479 0.185
Ni 0.130 0.370 0.500
Ni 0.370 0.870 0.240
Ni 0.630 0.130 0.760
Ni 0.870 0.630 0.500
Sb 0.250 0.250 0.000
Sb 0.750 0.750 0.000

The raw formation energy comes out at -0.596 eV/atom.



18.
Below is LiMg3 at its PBEsol-relaxed geometry, with properties calculated at the SCAN level.

Lattice parameters (Å, degrees): 8.209 8.209 8.846 90.00 90.00 120.00
Fractional coordinates of all 24 atoms:
Li 0.000 0.333 0.000
Li 0.000 0.667 0.500
Li 0.333 0.000 0.000
Li 0.333 0.333 0.500
Li 0.667 0.000 0.500
Li 0.667 0.667 0.000
Mg 0.000 0.000 0.087
Mg 0.000 0.000 0.587
Mg 0.000 0.274 0.329
Mg 0.000 0.372 0.664
Mg 0.000 0.628 0.164
Mg 0.000 0.726 0.829
Mg 0.274 0.000 0.329
Mg 0.274 0.274 0.829
Mg 0.333 0.667 0.394
Mg 0.333 0.667 0.894
Mg 0.372 0.000 0.664
Mg 0.372 0.372 0.164
Mg 0.628 0.000 0.164
Mg 0.628 0.628 0.664
Mg 0.667 0.333 0.394
Mg 0.667 0.333 0.894
Mg 0.726 0.000 0.829
Mg 0.726 0.726 0.329

For the formation energy, the calculation gives 0.02 eV/atom.



19.
Below is BaBeP2 at its PBEsol-relaxed geometry, with properties calculated at the SCAN level.

Lattice parameters (Å, degrees): 5.365 5.365 5.365 132.72 132.72 69.09
Fractional coordinates of all 4 atoms:
Ba 0.000 0.000 0.000
Be 0.750 0.250 0.500
P 0.250 0.750 0.500
P 0.500 0.500 0.000

For the formation energy, the calculation gives 0.50 eV/atom. The relative energy among the computed polymorphs is 395 meV/atom.



20.
Below is CaTa2Fe at its PBEsol-relaxed geometry, with properties calculated at the SCAN level.

Lattice parameters (Å, degrees): 9.340 9.340 9.340 18.84 18.84 18.84
Fractional coordinates of all 4 atoms:
Ca 0.000 0.000 0.000
Ta 0.230 0.230 0.230
Ta 0.770 0.770 0.770
Fe 0.500 0.500 0.500

For the formation energy, the calculation gives 0.68 eV/atom. The relative energy among the computed polymorphs is 247 meV/atom.



21.
Below is LaYAg2 at its PBEsol-relaxed geometry, with properties calculated at the SCAN level.

Lattice parameters (Å, degrees): 5.197 5.197 3.642 90.00 90.00 90.00
Fractional coordinates of all 4 atoms:
La 0.000 0.000 0.000
Y 0.500 0.500 0.000
Ag 0.000 0.500 0.500
Ag 0.500 0.000 0.500

For the formation energy, the calculation gives -0.35 eV/atom.



22.
Below is LaP2Os at its PBEsol-relaxed geometry, with properties calculated at the SCAN level.

Lattice parameters (Å, degrees): 3.071 3.570 6.420 90.00 90.00 90.00
Fractional coordinates of all 4 atoms:
La 0.000 0.000 0.000
P 0.000 0.000 0.497
P 0.500 0.500 0.736
Os 0.500 0.500 0.371

For the formation energy, the calculation gives -0.20 eV/atom. The relative energy among the computed polymorphs is 500 meV/atom.



23.
Below is ReIr3 at its PBEsol-relaxed geometry, with properties calculated at the SCAN level.

Lattice parameters (Å, degrees): 5.154 5.154 5.154 149.29 64.16 125.18
Fractional coordinates of all 4 atoms:
Re 0.000 0.000 0.000
Ir 0.081 0.334 0.748
Ir 0.498 0.998 0.500
Ir 0.586 0.334 0.252

For the formation energy, the calculation gives -0.11 eV/atom. The relative energy among the computed polymorphs is 45 meV/atom.



24.
Below is YBeCd2 at its PBEsol-relaxed geometry, with properties calculated at the SCAN level.

Lattice parameters (Å, degrees): 3.169 3.169 7.597 90.00 90.00 90.00
Fractional coordinates of all 4 atoms:
Y 0.000 0.000 0.000
Be 0.000 0.000 0.500
Cd 0.500 0.500 0.300
Cd 0.500 0.500 0.700

For the formation energy, the calculation gives -0.03 eV/atom.



25.
Below is Sr2FeO3F at its PBEsol-relaxed geometry, with properties calculated at the SCAN level.

Lattice parameters (Å, degrees): 7.044 7.044 7.044 148.68 148.68 44.88
Fractional coordinates of all 7 atoms:
Sr 0.000 0.000 0.000
Sr 0.273 0.273 0.000
Fe 0.619 0.619 0.000
O 0.141 0.641 0.500
O 0.468 0.468 0.000
O 0.641 0.141 0.500
F 0.815 0.815 0.000

The relative energy among the computed polymorphs is 10 meV/atom. The raw formation energy comes out at -2.842 eV/atom.



26.
Below is Sm3SbO7 at its PBEsol-relaxed geometry, with properties calculated at the SCAN level.

Lattice parameters (Å, degrees): 6.535 6.535 7.594 90.00 90.00 109.68
Fractional coordinates of all 22 atoms:
Sm 0.000 0.000 0.000
Sm 0.000 0.000 0.500
Sm 0.033 0.499 0.750
Sm 0.499 0.033 0.250
Sm 0.501 0.967 0.750
Sm 0.967 0.501 0.250
Sb 0.500 0.500 0.000
Sb 0.500 0.500 0.500
O 0.130 0.870 0.250
O 0.135 0.865 0.750
O 0.182 0.428 0.029
O 0.182 0.428 0.471
O 0.428 0.182 0.529
O 0.428 0.182 0.971
O 0.433 0.567 0.750
O 0.567 0.433 0.250
O 0.572 0.818 0.029
O 0.572 0.818 0.471
O 0.818 0.572 0.529
O 0.818 0.572 0.971
O 0.865 0.135 0.250
O 0.870 0.130 0.750

The raw formation energy comes out at -3.200 eV/atom.